No. 1
VASP calculation (GGA-PBE) on an optimized crystal structure of LaMoPb3.

Cell lengths 5.969, 5.969, 5.969 Å; angles 90.00, 90.00, 90.00 degrees
Fractional positions:
Pb 0.000 0.500 0.000
Pb 0.000 0.000 0.500
Pb 0.500 0.000 0.000
Mo 0.500 0.500 0.500
La 0.000 0.000 0.000

Computed properties:
The value obtained for the polymorph energy (0 for the lowest one) is 1464 meV per atom. Its space group is Pm-3m (221). The formation energy comes out at 852 kJ/mol of formula units. The calculation puts the density of states at the Fermi level at 6.30 states/eV per cell. Its calculated volume is 213 Å³/cell.

---

No. 2
VASP calculation (GGA-PBE) on an optimized crystal structure of NbRe2H.

Cell lengths 5.398, 5.398, 5.379 Å; angles 59.89, 59.89, 90.00 degrees
Fractional positions:
Re 0.408 0.125 0.250
Re 0.342 0.625 0.250
Re 0.375 0.592 0.750
Re 0.875 0.658 0.750
Nb 0.000 0.000 0.000
Nb 0.750 0.250 0.500
H 0.500 0.500 0.000
H 0.250 0.750 0.500

Computed properties:
The value obtained for the polymorph energy (0 for the lowest one) is 0 meV per atom. Its space group is I-42d (122). The calculation puts the density of states at the Fermi level at 2.27 states/eV per cell. Its calculated volume is 110 Å³/cell.

---

No. 3
VASP calculation (GGA-PBE) on an optimized crystal structure of LiCeHo.

Cell lengths 3.377, 3.377, 8.402 Å; angles 90.00, 90.00, 120.00 degrees
Fractional positions:
Ho 0.667 0.333 0.330
Ce 0.333 0.667 0.667
Li 0.000 0.000 0.003

Computed properties:
The value obtained for the polymorph energy (0 for the lowest one) is 0 meV per atom. Its space group is P3m1 (156). The formation energy comes out at 45 kJ/mol of formula units. The calculation puts the density of states at the Fermi level at 5.22 states/eV per cell. Its calculated volume is 83 Å³/cell.

---

No. 4
VASP calculation (GGA-PBE) on an optimized crystal structure of ScGeI2.

Cell lengths 5.278, 5.278, 5.278 Å; angles 60.00, 60.00, 60.00 degrees
Fractional positions:
I 0.250 0.250 0.250
I 0.750 0.750 0.750
Sc 0.000 0.000 0.000
Ge 0.500 0.500 0.500

Computed properties:
The value obtained for the polymorph energy (0 for the lowest one) is 0 meV per atom. Its space group is Fm-3m (225). The energy relative to the elements, uncorrected comes out at -0.0793 eV/atom. The calculation puts the density of states at the Fermi level at 3.46 states/eV per cell. Its calculated volume is 104 Å³/cell.

---

No. 5
VASP calculation (GGA-PBE) on an optimized crystal structure of PrDy2Tl3S6.

Cell lengths 7.090, 7.090, 7.874 Å; angles 98.64, 98.64, 119.97 degrees
Fractional positions:
Pr 0.000 0.000 0.000
Dy 0.333 0.667 0.000
Dy 0.667 0.333 0.000
Tl 0.166 0.834 0.500
Tl 0.834 0.166 0.500
Tl 0.500 0.500 0.500
S 0.933 0.589 0.799
S 0.722 0.722 0.199
S 0.067 0.411 0.201
S 0.589 0.933 0.799
S 0.278 0.278 0.801
S 0.411 0.067 0.201

Computed properties:
Its space group is C2/m (12). The energy relative to the elements, uncorrected comes out at -1.4720 eV/atom. The calculation puts the density of states at the Fermi level at 0.00 states/eV per cell. Its calculated volume is 327 Å³/cell.

---

No. 6
VASP calculation (GGA-PBE) on an optimized crystal structure of RbNa7Pb5.

Cell lengths 6.948, 8.641, 8.641 Å; angles 81.09, 66.29, 66.29 degrees
Fractional positions:
Rb 0.010 0.990 0.990
Na 0.673 0.327 0.327
Na 0.341 0.659 0.659
Na 0.989 0.350 0.672
Na 0.989 0.672 0.350
Na 0.275 0.225 0.225
Na 0.505 0.782 0.207
Na 0.505 0.207 0.782
Pb 0.485 0.001 0.504
Pb 0.010 0.001 0.504
Pb 0.485 0.504 0.001
Pb 0.010 0.504 0.001
Pb 0.724 0.776 0.776

Computed properties:
Its space group is Imm2 (44). The formation energy comes out at -149 kJ/mol of formula units. The calculation puts the density of states at the Fermi level at 7.71 states/eV per cell. Its calculated volume is 435 Å³/cell.

---

No. 7
VASP calculation (GGA-PBE) on an optimized crystal structure of Pm2PrHo3S6.

Cell lengths 6.837, 6.837, 6.960 Å; angles 99.41, 99.41, 120.17 degrees
Fractional positions:
Pm 0.334 0.666 0.000
Pm 0.666 0.334 0.000
Pr 0.000 0.000 0.000
Ho 0.165 0.835 0.500
Ho 0.835 0.165 0.500
Ho 0.500 0.500 0.500
S 0.911 0.574 0.733
S 0.752 0.752 0.266
S 0.089 0.426 0.267
S 0.574 0.911 0.733
S 0.248 0.248 0.734
S 0.426 0.089 0.267

Computed properties:
Its space group is C2/m (12). The energy relative to the elements, uncorrected comes out at -2.0097 eV/atom. The calculation puts the density of states at the Fermi level at 5.31 states/eV per cell. Its calculated volume is 266 Å³/cell.

---

No. 8
VASP calculation (GGA-PBE) on an optimized crystal structure of HgO4F.

Cell lengths 6.155, 6.202, 10.826 Å; angles 159.84, 82.30, 111.31 degrees
Fractional positions:
Hg 0.000 0.000 0.000
O 0.356 0.678 0.138
O 0.644 0.322 0.862
O 0.357 0.751 0.577
O 0.643 0.249 0.423
F 0.000 0.000 0.500

Computed properties:
Its space group is P-1 (2). The energy relative to the elements, uncorrected comes out at -0.2263 eV/atom. The calculation puts the density of states at the Fermi level at 1.53 states/eV per cell. Its calculated volume is 101 Å³/cell.

---

No. 9
VASP calculation (GGA-PBE) on an optimized crystal structure of Th7Ga5Sb.

Cell lengths 6.048, 8.204, 8.204 Å; angles 82.74, 68.37, 68.37 degrees
Fractional positions:
Th 0.647 0.353 0.353
Th 0.277 0.723 0.723
Th 0.993 0.333 0.681
Th 0.993 0.681 0.333
Th 0.284 0.216 0.216
Th 0.531 0.804 0.135
Th 0.531 0.135 0.804
Ga 0.491 0.002 0.492
Ga 0.015 0.002 0.492
Ga 0.491 0.492 0.002
Ga 0.015 0.492 0.002
Ga 0.764 0.736 0.736
Sb 0.969 0.031 0.031

Computed properties:
Its space group is Imm2 (44). The energy relative to the elements, uncorrected comes out at -0.3293 eV/atom. The calculation puts the density of states at the Fermi level at 10.77 states/eV per cell. Its calculated volume is 352 Å³/cell.

---

No. 10
VASP calculation (GGA-PBE) on an optimized crystal structure of CsKCa2Pd.

Cell lengths 5.767, 5.767, 6.917 Å; angles 90.00, 90.00, 90.00 degrees
Fractional positions:
Cs 0.500 0.500 0.500
Ca 0.000 0.500 0.000
Ca 0.500 0.000 0.000
K 0.000 0.000 0.500
Pd 0.000 0.000 0.000

Computed properties:
The value obtained for the polymorph energy (0 for the lowest one) is 0 meV per atom. Its space group is P4/mmm (123). The formation energy comes out at -42 kJ/mol of formula units. The calculation puts the density of states at the Fermi level at 3.35 states/eV per cell. Its calculated volume is 230 Å³/cell.

---

No. 11
VASP calculation (GGA-PBE) on an optimized crystal structure of K6InP3.

Cell lengths 8.988, 8.996, 9.996 Å; angles 81.84, 107.08, 119.51 degrees
Fractional positions:
K 0.731 0.125 0.616
K 0.255 0.857 0.393
K 0.969 0.817 0.628
K 0.022 0.197 0.392
K 0.626 0.449 0.399
K 0.399 0.562 0.592
K 0.871 0.486 0.138
K 0.112 0.503 0.845
K 0.751 0.092 0.989
K 0.241 0.873 0.007
K 0.575 0.629 0.944
K 0.248 0.210 0.110
In 0.585 0.827 0.258
In 0.419 0.176 0.750
P 0.288 0.552 0.233
P 0.715 0.444 0.763
P 0.597 0.117 0.261
P 0.388 0.875 0.741
P 0.864 0.824 0.245
P 0.153 0.201 0.760

Computed properties:
Its space group is P1 (1). The formation energy comes out at -327 kJ/mol of formula units. Its calculated volume is 672 Å³/cell.

---

No. 12
VASP calculation (GGA-PBE) on an optimized crystal structure of CsTbSe2.

Cell lengths 4.272, 4.272, 8.809 Å; angles 75.97, 75.97, 60.00 degrees
Fractional positions:
Cs 0.498 0.498 0.505
Tb 0.667 0.667 0.999
Se 0.062 0.062 0.813
Se 0.272 0.272 0.184

Computed properties:
Its space group is R3m (160). The energy relative to the elements, uncorrected comes out at -1.7172 eV/atom. The calculation puts the density of states at the Fermi level at 0.00 states/eV per cell. Its calculated volume is 134 Å³/cell.